First-principles (PBE) data for a relaxed KMnCo crystal, as listed in the Alexandria database.

Values from the calculation:
For the density of states at the Fermi level, the calculation gives 1.71 states/eV/atom.

Cell lengths 6.6591, 6.6591, 6.6591 Å; angles 90.00, 90.00, 90.00 degrees
Space group F-43m (No. 216)
One atom of each set of equivalent atoms:
K1 0.0000 0.0000 0.0000 [4 per cell]
Mn1 0.0000 0.0000 0.5000 [4 per cell]
Co1 0.2500 0.2500 0.7500 [4 per cell]

=====

First-principles (PBE) data for a relaxed Sc2RhBr crystal, as listed in the Alexandria database.

Values from the calculation:
For the density of states at the Fermi level, the calculation gives 1.21 states/eV/atom. The formation energy from raw total energies comes out at -0.67 eV per atom.

Cell lengths 3.8014, 3.8014, 5.7557 Å; angles 90.00, 90.00, 90.00 degrees
Space group P4mm (No. 99)
One atom of each set of equivalent atoms:
Sc1 0.0000 0.0000 0.0000 [1 per cell]
Sc2 0.5000 0.5000 0.4157 [1 per cell]
Rh1 0.5000 0.5000 0.9781 [1 per cell]
Br1 0.0000 0.0000 0.5200 [1 per cell]

=====

Computed E_tot, in the same sequence as the records: -4.349, -6.089 eV per atom.
Computed distance to the lowest polymorph of the same formula, in the same sequence as the records: 717, 258 meV/atom.